1.
Entry from the Alexandria database: an optimized crystal structure of Na2CdGa2Pd5 (PBE).

```
Na2CdGa2Pd5
1.0
9.7391 0.0000 0.0000
0.0000 9.7391 0.0000
0.0000 0.0000 3.7232
Na Cd Ga Pd
4 2 4 10
Direct
0.1730 0.3270 0.0000
0.3270 0.8270 0.0000
0.6730 0.1730 0.0000
0.8270 0.6730 0.0000
0.0000 0.0000 0.0000
0.5000 0.5000 0.0000
0.1265 0.6265 0.0000
0.3735 0.1265 0.0000
0.6265 0.8735 0.0000
0.8735 0.3735 0.0000
0.0000 0.5000 0.5000
0.0694 0.7930 0.5000
0.2070 0.0694 0.5000
0.2930 0.5694 0.5000
0.4306 0.2930 0.5000
0.5000 0.0000 0.5000
0.5694 0.7070 0.5000
0.7070 0.4306 0.5000
0.7930 0.9306 0.5000
0.9306 0.2070 0.5000
```

Computed properties:
SG = P4/mbm (127)
Theoretical density = 7.8 g/cm3

---

2.
Entry from the Alexandria database: an optimized crystal structure of NaPrCdGa (PBE).

```
NaPrCdGa
1.0
0.0000 3.7004 3.7004
3.7004 0.0000 3.7004
3.7004 3.7004 0.0000
Na Pr Cd Ga
1 1 1 1
Direct
0.0000 0.0000 0.0000
0.5000 0.5000 0.5000
0.2500 0.2500 0.2500
0.7500 0.7500 0.7500
```

Computed properties:
SG = F-43m (216)
Theoretical density = 5.7 g/cm3

---

3.
Entry from the Alexandria database: an optimized crystal structure of NaCdGaPt (PBE).

```
NaCdGaPt
1.0
0.0000 3.2974 3.2974
3.2974 0.0000 3.2974
3.2974 3.2974 0.0000
Na Cd Ga Pt
1 1 1 1
Direct
0.0000 0.0000 0.0000
0.2500 0.2500 0.2500
0.7500 0.7500 0.7500
0.5000 0.5000 0.5000
```

Computed properties:
SG = F-43m (216)
Theoretical density = 9.3 g/cm3
Energy relative to the lowest polymorph listed for this composition = 41 meV/atom

---

Going through the records in order, we get Fermi-level density of states values of 3.720, 2.106, 1.195 states/eV/f.u..
Going through the records in order, we get total magnetization values of 0.0, 0.0, 0.0 μB per formula unit.
Going through the records in order, we get total DFT energy (no corrections) values of -79.7, -11.1, -12.4 eV/cell.